Entry from the Alexandria database: crystalline InTc2Ru at its relaxed geometry (PBEsol).

Output
Crystal system: orthorhombic
Space group: Pmmm (47)
ΔE_f: 34.07 kJ/mol of atoms

Lattice parameters (Å, degrees): 3.1021 4.2463 4.5899 90.00 90.00 90.00
Sites, in units of the cell vectors:
1 In 0.0000 0.0000 0.0000
2 Tc 0.0000 0.5000 0.5000
3 Tc 0.5000 0.0000 0.5000
4 Ru 0.5000 0.5000 0.0000

Entry from the Alexandria database: crystalline InTe2Ru at its relaxed geometry (PBEsol).

Output
Crystal system: orthorhombic
Space group: Amm2 (38)
Formation energy without anion corrections: -0.03 eV per atom

Lattice parameters (Å, degrees): 3.1320 7.7336 7.7336 32.45 90.00 90.00
Sites, in units of the cell vectors:
1 In 0.0000 0.0000 0.0000
2 Te 0.0000 0.6659 0.6659
3 Te 0.5000 0.3450 0.3450
4 Ru 0.5000 0.5249 0.5249